(1)
Here is crystalline RbSrSiAs2 at its relaxed geometry from Alexandria via LeMat-Bulk. Energies are from GGA-PBE.

Summary:
- mass density (g/cm³) = 3.14
- E_form (uncorrected) (eV/atom) = -0.30
- total moment (μB/f.u.) = 0.00
- SG = Cmme (67)
- electronic total energy (eV for the cell shown) = -37.74

abc: 9.075 9.075 5.434
angles: 90.00 90.00 123.84
Sites, in units of the cell vectors:
Rb 0.250 0.750 0.761
Rb 0.750 0.250 0.239
Sr 0.250 0.250 0.000
Sr 0.750 0.750 0.000
Si 0.000 0.000 0.500
Si 0.500 0.500 0.500
As 0.116 0.884 0.268
As 0.384 0.616 0.268
As 0.616 0.384 0.732
As 0.884 0.116 0.732

---

(2)
Here is crystalline Nb2HgRh at its relaxed geometry from Alexandria via LeMat-Bulk. Energies are from GGA-PBE.

Summary:
- mass density (g/cm³) = 10.53
- total moment (μB/f.u.) = 0.00
- formation energy from the elements (eV/atom) = 0.31
- SG = I-42d (122)
- electronic total energy (eV for the cell shown) = -53.12

abc: 5.977 5.977 5.977
angles: 101.99 101.99 125.76
Sites, in units of the cell vectors:
Nb 0.085 0.625 0.960
Nb 0.375 0.335 0.460
Nb 0.665 0.125 0.040
Nb 0.875 0.915 0.540
Hg 0.250 0.750 0.500
Hg 0.500 0.500 0.000
Rh 0.000 0.000 0.000
Rh 0.750 0.250 0.500

---

(3)
Here is crystalline Dy2GeCl3 at its relaxed geometry from Alexandria via LeMat-Bulk. Energies are from GGA-PBE.

Summary:
- mass density (g/cm³) = 4.79
- E_form (uncorrected) (eV/atom) = -1.64
- total moment (μB/f.u.) = 0.00
- SG = C2/m (12)
- electronic total energy (eV for the cell shown) = -58.35

abc: 9.286 9.286 12.627
angles: 128.73 128.73 24.68
Sites, in units of the cell vectors:
Dy 0.116 0.116 0.441
Dy 0.373 0.373 0.173
Dy 0.627 0.627 0.827
Dy 0.884 0.884 0.559
Ge 0.066 0.066 0.625
Ge 0.934 0.934 0.375
Cl 0.177 0.177 0.022
Cl 0.258 0.258 0.394
Cl 0.451 0.451 0.758
Cl 0.549 0.549 0.242
Cl 0.742 0.742 0.606
Cl 0.823 0.823 0.978

---

(4)
Here is crystalline Hf3Zr2Sc at its relaxed geometry from Alexandria via LeMat-Bulk. Energies are from GGA-PBE.

Summary:
- distance to the lowest polymorph of the same formula (meV/atom) = 69
- mass density (g/cm³) = 9.05
- total moment (μB/f.u.) = 0.00
- formation energy from the elements (eV/atom) = 0.27
- SG = Cmc2_1 (36)
- electronic total energy (eV for the cell shown) = -103.36

abc: 7.409 7.409 5.250
angles: 90.00 90.00 103.65
Sites, in units of the cell vectors:
Hf 0.071 0.929 0.500
Hf 0.262 0.401 0.997
Hf 0.401 0.262 0.497
Hf 0.599 0.738 0.997
Hf 0.738 0.599 0.497
Hf 0.929 0.071 0.000
Zr 0.136 0.528 0.497
Zr 0.472 0.864 0.497
Zr 0.528 0.136 0.997
Zr 0.864 0.472 0.997
Sc 0.193 0.807 0.999
Sc 0.807 0.193 0.499

---

(5)
Here is crystalline Ag2RuCl8 at its relaxed geometry from Alexandria via LeMat-Bulk. Energies are from GGA-PBE.

Summary:
- mass density (g/cm³) = 3.11
- E_form (uncorrected) (eV/atom) = -0.31
- total moment (μB/f.u.) = 2.07
- SG = C2/m (12)
- electronic total energy (eV for the cell shown) = -33.22

abc: 8.623 8.623 6.343
angles: 101.14 101.14 43.99
Sites, in units of the cell vectors:
Ag 0.170 0.170 0.042
Ag 0.830 0.830 0.958
Ru 0.000 0.000 0.500
Cl 0.132 0.132 0.392
Cl 0.193 0.700 0.244
Cl 0.282 0.282 0.847
Cl 0.300 0.807 0.756
Cl 0.700 0.193 0.244
Cl 0.718 0.718 0.153
Cl 0.807 0.300 0.756
Cl 0.868 0.868 0.608

---

(6)
Here is crystalline YU2PaP4 at its relaxed geometry from Alexandria via LeMat-Bulk. Energies are from GGA-PBE.

Summary:
- mass density (g/cm³) = 8.69
- total moment (μB/f.u.) = 4.54
- formation energy from the elements (eV/atom) = -1.21
- SG = P2/m (10)
- electronic total energy (eV for the cell shown) = -69.88

abc: 6.823 3.935 6.931
angles: 90.00 109.14 90.00
Sites, in units of the cell vectors:
Y 0.000 0.000 0.000
U 0.000 0.500 0.500
U 0.500 0.000 0.500
Pa 0.500 0.500 0.000
P 0.250 0.000 0.748
P 0.253 0.500 0.254
P 0.747 0.500 0.746
P 0.750 0.000 0.252

---

(7)
Here is crystalline Rb2SrAlBi at its relaxed geometry from Alexandria via LeMat-Bulk. Energies are from GGA-PBE.

Summary:
- mass density (g/cm³) = 2.85
- total moment (μB/f.u.) = 0.00
- formation energy from the elements (eV/atom) = 0.23
- SG = P4/mmm (123)
- electronic total energy (eV for the cell shown) = -10.11

abc: 7.225 7.225 5.518
angles: 90.00 90.00 90.00
Sites, in units of the cell vectors:
Rb 0.000 0.500 0.000
Rb 0.500 0.000 0.000
Sr 0.000 0.000 0.500
Al 0.500 0.500 0.500
Bi 0.500 0.500 0.000

---

(8)
Here is crystalline SrTcSb4 at its relaxed geometry from Alexandria via LeMat-Bulk. Energies are from GGA-PBE.

Summary:
- mass density (g/cm³) = 6.43
- E_form (uncorrected) (eV/atom) = 0.45
- total moment (μB/f.u.) = 3.54
- SG = F-43m (216)
- electronic total energy (eV for the cell shown) = -25.83

abc: 6.261 6.261 6.261
angles: 60.00 60.00 60.00
Sites, in units of the cell vectors:
Sr 0.000 0.000 0.000
Tc 0.750 0.750 0.750
Sb 0.376 0.376 0.376
Sb 0.376 0.376 0.872
Sb 0.376 0.872 0.376
Sb 0.872 0.376 0.376